Density functional theory data (PBE) for a relaxed structure of CrCoSbTe2.

Cell: 5.1923 5.1923 4.9861 Å, 90.00 90.00 90.00°
Last column: nearest neighbours and their distance in Å.
Sites, in units of the cell vectors:
Sb  0.0000  0.0000  0.5000  2 Cr 2.49
Te  0.0000  0.5000  0.0000  2 Cr 2.60
Te  0.5000  0.0000  0.0000  2 Cr 2.60
Co  0.5000  0.5000  0.5000  8 Te 3.60, 4 Sb 3.67
Cr  0.0000  0.0000  0.0000  2 Sb 2.49, 4 Te 2.60

E_form (uncorrected): 4.532 eV per formula unit
DOS at the Fermi energy: 6.85 states/eV/cell
Offset from the most stable computed form: 0.0 meV per atom

Density functional theory data (PBE) for a relaxed structure of CrCoSb2Te.

Cell: 4.7703 4.7703 5.2788 Å, 90.00 90.00 90.00°
Last column: nearest neighbours and their distance in Å.
Sites, in units of the cell vectors:
Sb  0.0000  0.5000  0.0000  2 Co 2.39
Sb  0.5000  0.0000  0.0000  2 Co 2.39
Te  0.0000  0.0000  0.5000  2 Co 2.64
Co  0.0000  0.0000  0.0000  4 Sb 2.39, 2 Te 2.64
Cr  0.5000  0.5000  0.5000  4 Te 3.37, 8 Sb 3.56

E_form (uncorrected): 5.040 eV per formula unit
DOS at the Fermi energy: 7.02 states/eV/cell
Offset from the most stable computed form: 99.0 meV per atom

Density functional theory data (PBE) for a relaxed structure of V2CrCoSb.

Cell: 4.2235 4.8198 4.2235 Å, 90.00 90.00 90.00°
Last column: nearest neighbours and their distance in Å.
Sites, in units of the cell vectors:
Sb  0.0000  0.5000  0.0000  2 Cr 2.41
V  0.0000  0.0000  0.5000  2 Cr 2.11
V  0.5000  0.0000  0.0000  2 Cr 2.11
Co  0.5000  0.5000  0.5000  4 Sb 2.99, 8 V 3.20
Cr  0.0000  0.0000  0.0000  4 V 2.11

E_form (uncorrected): 5.674 eV per formula unit
DOS at the Fermi energy: 9.68 states/eV/cell

Density functional theory data (PBE) for a relaxed structure of ZnCrCo2Sb.

Cell: 4.3283 4.4577 4.3283 Å, 90.00 90.00 90.00°
Last column: nearest neighbours and their distance in Å.
Sites, in units of the cell vectors:
Sb  0.5000  0.5000  0.5000  4 Cr 3.06, 8 Co 3.11
Zn  0.0000  0.0000  0.0000  4 Co 2.16, 2 Cr 2.23
Co  0.0000  0.0000  0.5000  2 Zn 2.16
Co  0.5000  0.0000  0.0000  2 Zn 2.16
Cr  0.0000  0.5000  0.0000  2 Zn 2.23

E_form (uncorrected): 5.665 eV per formula unit
DOS at the Fermi energy: 10.74 states/eV/cell

Density functional theory data (PBE) for a relaxed structure of ScCrCo.

Cell: 4.1637 4.1637 4.1637 Å, 60.00 60.00 60.00°
Last column: nearest neighbours and their distance in Å.
Sites, in units of the cell vectors:
Co  0.7500  0.7500  0.7500  4 Sc 2.55, 4 Cr 2.55
Cr  0.0000  0.0000  0.0000  4 Co 2.55
Sc  0.5000  0.5000  0.5000  4 Co 2.55

DOS at the Fermi energy: 5.44 states/eV/cell
ΔE_f: 357 meV/atom
Offset from the most stable computed form: 264.4 meV per atom

Density functional theory data (PBE) for a relaxed structure of ScCr2Co.

Cell: 4.9593 4.9593 2.5732 Å, 90.00 90.00 122.54°
Last column: nearest neighbours and their distance in Å.
Sites, in units of the cell vectors:
Co  0.0000  0.5000  0.5000  2 Sc 2.38, 2 Co 2.57
Cr  0.0000  0.0000  0.0000  4 Cr 2.38-2.57
Cr  0.5000  0.5000  0.0000  4 Cr 2.38-2.57
Sc  0.5000  0.0000  0.5000  2 Co 2.38, 2 Sc 2.57

DOS at the Fermi energy: 4.71 states/eV/cell
ΔE_f: 404 meV/atom
Offset from the most stable computed form: 301.0 meV per atom

Density functional theory data (PBE) for a relaxed structure of ScCrCo2.

Cell: 4.6148 4.6148 4.4855 Å, 78.19 78.19 35.05°
Last column: nearest neighbours and their distance in Å.
Sites, in units of the cell vectors:
Co  0.0127  0.0127  0.9875  2 Cr 2.38, 1 Sc 2.57, 2 Co 2.58
Co  0.7499  0.7499  0.7192  3 Cr 2.43-2.58, 2 Co 2.58, 4 Sc 2.63-2.65
Cr  0.4812  0.4812  0.5752  5 Co 2.38-2.58
Sc  0.2563  0.2563  0.2181  7 Co 2.57-2.66, 2 Sc 2.78, 1 Cr 2.80

DOS at the Fermi energy: 5.40 states/eV/cell
ΔE_f: 119 meV/atom
Offset from the most stable computed form: 147.8 meV per atom

Density functional theory data (PBE) for a relaxed structure of ScCrCo2.

Cell: 8.0780 8.0780 8.0780 Å, 19.97 19.97 19.97°
Last column: nearest neighbours and their distance in Å.
Sites, in units of the cell vectors:
Co  0.9928  0.9928  0.9928  3 Cr 2.43, 3 Sc 2.69
Co  0.5072  0.5072  0.5072  3 Cr 2.43, 3 Sc 2.69
Cr  0.2500  0.2500  0.2500  6 Co 2.43
Sc  0.7500  0.7500  0.7500  6 Co 2.69, 6 Sc 2.80

DOS at the Fermi energy: 6.55 states/eV/cell
ΔE_f: 331 meV/atom
Offset from the most stable computed form: 360.1 meV per atom

Density functional theory data (PBE) for a relaxed structure of Sc2CrCo.

Cell: 2.9050 2.9050 7.9450 Å, 90.00 90.00 90.01°
Last column: nearest neighbours and their distance in Å.
Sites, in units of the cell vectors:
Co  0.0000  0.0000  0.5464  4 Cr 2.39
Cr  0.5000  0.5000  0.7010  4 Co 2.39
Sc  0.0000  0.0000  0.9440  4 Cr 2.82, 4 Sc 2.90
Sc  0.5000  0.5000  0.3087  4 Co 2.79, 4 Sc 2.90, 1 Cr 3.12

DOS at the Fermi energy: 3.91 states/eV/cell
ΔE_f: 82 meV/atom

Density functional theory data (PBE) for a relaxed structure of Sc2CrCo.

Cell: 8.8004 8.8004 8.8004 Å, 19.87 19.87 19.87°
Last column: nearest neighbours and their distance in Å.
Sites, in units of the cell vectors:
Co  0.4892  0.4892  0.4892  3 Cr 2.32
Cr  0.7639  0.7639  0.7639  3 Co 2.32
Sc  0.0131  0.0131  0.0131  3 Cr 2.80, 6 Sc 3.04
Sc  0.2338  0.2338  0.2338  3 Co 2.67

DOS at the Fermi energy: 6.59 states/eV/cell
ΔE_f: 385 meV/atom

Density functional theory data (PBE) for a relaxed structure of ScCr2Co.

Cell: 4.7260 4.9911 2.6279 Å, 80.94 77.10 114.50°
Last column: nearest neighbours and their distance in Å.
Sites, in units of the cell vectors:
Co  0.5000  0.5000  0.0000  2 Sc 2.43, 2 Co 2.63, 4 Cr 2.63
Cr  0.0000  0.0000  0.0000  4 Cr 2.43-2.63, 2 Co 2.63, 2 Sc 2.63
Cr  0.5000  0.0000  0.5000  4 Cr 2.43-2.63, 2 Sc 2.63, 2 Co 2.63
Sc  0.0000  0.5000  0.5000  2 Co 2.43, 2 Sc 2.63, 4 Cr 2.63

DOS at the Fermi energy: 4.28 states/eV/cell
ΔE_f: 303 meV/atom
Offset from the most stable computed form: 200.1 meV per atom

Density functional theory data (PBE) for a relaxed structure of ScCrCo3.

Cell: 4.2959 4.2959 4.2959 Å, 90.00 90.00 90.00°
Last column: nearest neighbours and their distance in Å.
Sites, in units of the cell vectors:
Sc  0.0000  0.0000  0.0000  6 Co 2.15
Cr  0.5000  0.5000  0.5000  12 Co 3.04
Co  0.0000  0.5000  0.0000  2 Sc 2.15
Co  0.0000  0.0000  0.5000  2 Sc 2.15
Co  0.5000  0.0000  0.0000  2 Sc 2.15

DOS at the Fermi energy: 8.99 states/eV/cell
ΔE_f: 1663 meV/atom
Offset from the most stable computed form: 1116.1 meV per atom

What did the twelfth record say?
Density functional theory data (PBE) for a relaxed structure of ScCrCo3.

Cell: 4.2959 4.2959 4.2959 Å, 90.00 90.00 90.00°
Last column: nearest neighbours and their distance in Å.
Sites, in units of the cell vectors:
Sc  0.0000  0.0000  0.0000  6 Co 2.15
Cr  0.5000  0.5000  0.5000  12 Co 3.04
Co  0.0000  0.5000  0.0000  2 Sc 2.15
Co  0.0000  0.0000  0.5000  2 Sc 2.15
Co  0.5000  0.0000  0.0000  2 Sc 2.15

DOS at the Fermi energy: 8.99 states/eV/cell
ΔE_f: 1663 meV/atom
Offset from the most stable computed form: 1116.1 meV per atom

> The highest DOS at the Fermi energy belongs to which entry?

ZnCrCo2Sb